12
Lattice="-1.8661 3.3367 5.6095 -2.0647 -5.3545 3.1640 7.8641 -1.1260 3.8119" Properties=species:S:1:pos:R:3 comment="KSnGe2Cl8 | Alexandria | PBE | relaxed" rho_g_cm3=2.5 raw_formation_energy_mev_per_atom=-1011 volume_a3_per_atom=32.498 magnetic_moment_mub_per_cell=0.00 pbc="T T T"
Ge 4.2089 -1.7406 6.8731
Ge -0.2756 -1.4032 5.7124
Cl 4.2925 -4.3802 6.3767
Cl 6.5013 -1.4740 6.1722
Cl 4.2916 0.6423 8.1567
Cl 3.1376 -1.0483 4.9556
Cl 0.7957 -2.0955 7.6299
Cl -0.3593 1.2364 6.2087
Cl -0.3583 -3.7862 4.4288
Cl -2.5680 -1.6698 6.4133
K 3.9320 -0.5630 1.9060
Sn 0.0000 0.0000 0.0000